(1)
Here is a geometry-optimized Na2Tm2HfTe6 structure from Alexandria via LeMat-Bulk. Energies are from GGA-PBE.

```
data_Na2Tm2HfTe6
_chemical_formula_sum 'Na2 Tm2 Hf1 Te6'
_cell_length_a 7.3835
_cell_length_b 7.3835
_cell_length_c 8.0763
_cell_angle_alpha 99.01
_cell_angle_beta 99.01
_cell_angle_gamma 119.69
_space_group_name_H-M_alt 'P 1'
_space_group_IT_number 1
_space_group_name_Hall 'P 1'
loop_
_atom_site_label
_atom_site_fract_x
_atom_site_fract_y
_atom_site_fract_z
Na1 0.1705 0.8295 0.0000
Na2 0.8295 0.1705 0.0000
Tm1 0.3320 0.6680 0.5000
Tm2 0.6680 0.3320 0.5000
Hf1 0.0000 0.0000 0.5000
Te1 0.0794 0.3973 0.7255
Te2 0.2446 0.2446 0.2772
Te3 0.3973 0.0794 0.7255
Te4 0.6027 0.9206 0.2745
Te5 0.7554 0.7554 0.7228
Te6 0.9206 0.6027 0.2745
```

VASP energy	-52.96	eV/cell
uncorrected formation energy	-1.144	eV per atom

(2)
Here is a geometry-optimized BeC2 structure from Alexandria via LeMat-Bulk. Energies are from GGA-PBE.

```
data_BeC2
_chemical_formula_sum 'Be2 C4'
_cell_length_a 3.0133
_cell_length_b 3.0133
_cell_length_c 5.6818
_cell_angle_alpha 90.00
_cell_angle_beta 90.00
_cell_angle_gamma 120.00
_space_group_name_H-M_alt 'P 1'
_space_group_IT_number 1
_space_group_name_Hall 'P 1'
loop_
_atom_site_label
_atom_site_fract_x
_atom_site_fract_y
_atom_site_fract_z
Be1 0.3333 0.6667 0.2500
Be2 0.6667 0.3333 0.7500
C1 0.0000 0.0000 0.0000
C2 0.0000 0.0000 0.5000
C3 0.3333 0.6667 0.7500
C4 0.6667 0.3333 0.2500
```

DFT formation energy	222	kJ per mole of atoms
VASP energy	-30.54	eV/cell
excess energy over the best structure of this formula in the dataset	1.915	eV/atom

(3)
Here is a geometry-optimized Na6TlAu3 structure from Alexandria via LeMat-Bulk. Energies are from GGA-PBE.

```
data_Na6TlAu3
_chemical_formula_sum 'Na12 Tl2 Au6'
_cell_length_a 8.6929
_cell_length_b 5.1881
_cell_length_c 11.4267
_cell_angle_alpha 90.00
_cell_angle_beta 110.80
_cell_angle_gamma 90.00
_space_group_name_H-M_alt 'P 1'
_space_group_IT_number 1
_space_group_name_Hall 'P 1'
loop_
_atom_site_label
_atom_site_fract_x
_atom_site_fract_y
_atom_site_fract_z
Na1 0.0309 0.2500 0.4262
Na2 0.1500 0.7500 0.1689
Na3 0.2134 0.2500 0.9992
Na4 0.3235 0.7500 0.7711
Na5 0.3431 0.2500 0.3326
Na6 0.4080 0.2500 0.6182
Na7 0.5920 0.7500 0.3818
Na8 0.6569 0.7500 0.6674
Na9 0.6765 0.2500 0.2289
Na10 0.7866 0.7500 0.0008
Na11 0.8500 0.2500 0.8311
Na12 0.9691 0.7500 0.5738
Tl1 0.4630 0.7500 0.0772
Tl2 0.5370 0.2500 0.9228
Au1 0.0455 0.7500 0.8651
Au2 0.1065 0.2500 0.7140
Au3 0.2635 0.7500 0.4650
Au4 0.7365 0.2500 0.5350
Au5 0.8935 0.7500 0.2860
Au6 0.9545 0.2500 0.1349
```

DFT formation energy	-21	kJ per mole of atoms
VASP energy	-44.57	eV/cell

(4)
Here is a geometry-optimized Zr2HgPt structure from Alexandria via LeMat-Bulk. Energies are from GGA-PBE.

```
data_Zr2HgPt
_chemical_formula_sum 'Zr4 Hg2 Pt2'
_cell_length_a 4.1443
_cell_length_b 4.1443
_cell_length_c 9.3076
_cell_angle_alpha 90.00
_cell_angle_beta 90.00
_cell_angle_gamma 90.00
_space_group_name_H-M_alt 'P 1'
_space_group_IT_number 1
_space_group_name_Hall 'P 1'
loop_
_atom_site_label
_atom_site_fract_x
_atom_site_fract_y
_atom_site_fract_z
Zr1 0.0000 0.0000 0.0000
Zr2 0.0000 0.5000 0.2500
Zr3 0.5000 0.0000 0.7500
Zr4 0.5000 0.5000 0.5000
Hg1 0.0000 0.5000 0.7500
Hg2 0.5000 0.0000 0.2500
Pt1 0.0000 0.0000 0.5000
Pt2 0.5000 0.5000 0.0000
```

DFT formation energy	-40	kJ per mole of atoms
VASP energy	-50.22	eV/cell

(5)
Here is a geometry-optimized ReTc2P structure from Alexandria via LeMat-Bulk. Energies are from GGA-PBE.

```
data_ReTc2P
_chemical_formula_sum 'Re2 Tc4 P2'
_cell_length_a 5.1910
_cell_length_b 8.3126
_cell_length_c 2.8272
_cell_angle_alpha 90.00
_cell_angle_beta 109.87
_cell_angle_gamma 90.00
_space_group_name_H-M_alt 'P 1'
_space_group_IT_number 1
_space_group_name_Hall 'P 1'
loop_
_atom_site_label
_atom_site_fract_x
_atom_site_fract_y
_atom_site_fract_z
Re1 0.0000 0.0000 0.0000
Re2 0.5000 0.5000 0.0000
Tc1 0.2500 0.2500 0.5000
Tc2 0.2500 0.7500 0.5000
Tc3 0.7500 0.2500 0.5000
Tc4 0.7500 0.7500 0.5000
P1 0.0000 0.5000 0.0000
P2 0.5000 0.0000 0.0000
```

DFT formation energy	26	kJ per mole of atoms
VASP energy	-75.02	eV/cell

(6)
Here is a geometry-optimized CsBr3N structure from Alexandria via LeMat-Bulk. Energies are from GGA-PBE.

```
data_CsBr3N
_chemical_formula_sum 'Cs1 Br3 N1'
_cell_length_a 7.2680
_cell_length_b 7.2680
_cell_length_c 7.2680
_cell_angle_alpha 90.00
_cell_angle_beta 90.00
_cell_angle_gamma 90.00
_space_group_name_H-M_alt 'P 1'
_space_group_IT_number 1
_space_group_name_Hall 'P 1'
loop_
_atom_site_label
_atom_site_fract_x
_atom_site_fract_y
_atom_site_fract_z
Cs1 0.0000 0.0000 0.0000
Br1 0.0000 0.0000 0.5000
Br2 0.0000 0.5000 0.0000
Br3 0.5000 0.0000 0.0000
N1 0.5000 0.5000 0.5000
```

VASP energy	-10.07	eV/cell
uncorrected formation energy	0.826	eV per atom
excess energy over the best structure of this formula in the dataset	0.634	eV/atom

(7)
Here is a geometry-optimized ZnGaIr structure from Alexandria via LeMat-Bulk. Energies are from GGA-PBE.

```
data_ZnGaIr
_chemical_formula_sum 'Zn2 Ga2 Ir2'
_cell_length_a 3.1978
_cell_length_b 3.1978
_cell_length_c 8.4758
_cell_angle_alpha 90.00
_cell_angle_beta 90.00
_cell_angle_gamma 90.00
_space_group_name_H-M_alt 'P 1'
_space_group_IT_number 1
_space_group_name_Hall 'P 1'
loop_
_atom_site_label
_atom_site_fract_x
_atom_site_fract_y
_atom_site_fract_z
Zn1 0.0000 0.0000 0.0000
Zn2 0.5000 0.5000 0.5000
Ga1 0.0000 0.0000 0.3336
Ga2 0.5000 0.5000 0.8336
Ir1 0.0000 0.0000 0.6701
Ir2 0.5000 0.5000 0.1701
```

DFT formation energy	-24	kJ per mole of atoms
VASP energy	-27.80	eV/cell

(8)
Here is a geometry-optimized Er5TmSc2 structure from Alexandria via LeMat-Bulk. Energies are from GGA-PBE.

```
data_Er5TmSc2
_chemical_formula_sum 'Er5 Tm1 Sc2'
_cell_length_a 8.1716
_cell_length_b 7.0260
_cell_length_c 6.4916
_cell_angle_alpha 74.27
_cell_angle_beta 55.85
_cell_angle_gamma 49.88
_space_group_name_H-M_alt 'P 1'
_space_group_IT_number 1
_space_group_name_Hall 'P 1'
loop_
_atom_site_label
_atom_site_fract_x
_atom_site_fract_y
_atom_site_fract_z
Er1 0.0000 0.0000 0.0000
Er2 0.0032 0.5034 0.9968
Er3 0.0844 0.0844 0.4156
Er4 0.5034 0.0032 0.4966
Er5 0.5844 0.5844 0.9156
Tm1 0.5002 0.5002 0.4998
Sc1 0.0861 0.5856 0.4144
Sc2 0.5856 0.0861 0.9139
```

DFT formation energy	2	kJ per mole of atoms
VASP energy	-39.82	eV/cell
excess energy over the best structure of this formula in the dataset	0.000	eV/atom